Material: K6LiHg
Method: DFT, PBE
State: optimized geometry

Computed properties:
ΔE_f (eV/f.u.): -0.267
Size of the total moment (μB per atom): 0.00
Space-group type: No. 38

extended XYZ file:
```
8
Lattice="4.646 0.000 0.000 0.000 6.793 7.402 0.000 -6.793 7.402" Properties=species:S:1:pos:R:3 pbc="T T T"
K 0.000 0.000 0.000
K 0.000 -2.182 10.654
K 0.000 2.182 10.654
K 2.323 -3.055 6.976
K 2.323 0.000 3.937
K 2.323 3.055 6.976
Li 0.000 0.000 7.304
Hg 2.323 0.000 8.830
```

---

Material: K2LiHg4
Method: DFT, PBE
State: optimized geometry

Computed properties:
ΔE_f (eV/f.u.): -1.280
Size of the total moment (μB per atom): 0.00
Space-group type: No. 139

extended XYZ file:
```
7
Lattice="-2.631 2.631 8.703 2.631 -2.631 8.703 2.631 2.631 -8.703" Properties=species:S:1:pos:R:3 pbc="T T T"
K 0.000 0.000 2.470
K 0.000 0.000 14.937
Li 0.000 0.000 8.703
Hg 2.631 0.000 0.000
Hg 0.000 0.000 6.001
Hg 0.000 2.631 0.000
Hg 0.000 0.000 11.405
```

---

The highest ΔE_f belongs to which entry?
K6LiHg

---

Among the records above, which one has the highest ΔE_f?
K6LiHg